1.
Entry from Alexandria via LeMat-Bulk: a crystal of TaMo4 relaxed with PBEsol (meta-GGA SCAN).

The calculation puts the formation energy at -0.11 eV per atom. As for the final energy: -206.7 eV/f.u. As for the density of states at the Fermi level: 6.9 states/eV/cell. Its energy relative to the lowest polymorph listed for this composition is 0.9 kJ/mol of atoms.

It has space group R-3m (No. 166, hexagonal axes), with a = 4.4608 Å, b = 4.4608 Å, c = 13.6511 Å, α = 90.00°, β = 90.00° and γ = 120.00°. Symmetry generates all atoms from Ta at (0.0000, 0.0000, 0.0000), Mo at (0.0000, 0.0000, 0.2020) and Mo at (0.0000, 0.0000, 0.4014).

2.
Entry from Alexandria via LeMat-Bulk: a crystal of Ta3Mo4 relaxed with PBEsol (meta-GGA SCAN).

The calculation puts the formation energy at -0.15 eV per atom. As for the final energy: -340.4 eV/f.u. As for the density of states at the Fermi level: 8.6 states/eV/cell.

It has space group R3m (No. 160, hexagonal axes), with a = 4.5007 Å, b = 4.5007 Å, c = 19.3219 Å, α = 90.00°, β = 90.00° and γ = 120.00°. Symmetry generates all atoms from Ta at (0.0000, 0.0000, 0.0000), Ta at (0.0000, 0.0000, 0.1477), Ta at (0.0000, 0.0000, 0.7201), Mo at (0.0000, 0.0000, 0.2898), Mo at (0.0000, 0.0000, 0.4318), Mo at (0.0000, 0.0000, 0.5736) and Mo at (0.0000, 0.0000, 0.8619).

3.
Entry from Alexandria via LeMat-Bulk: a crystal of Ta3Mo4 relaxed with PBEsol (meta-GGA SCAN).

The calculation puts the formation energy at -0.12 eV per atom. As for the final energy: -340.1 eV/f.u. As for the density of states at the Fermi level: 11.7 states/eV/cell.

It has space group R3 (No. 146, hexagonal axes), with a = 11.8644 Å, b = 11.8644 Å, c = 2.7829 Å, α = 90.00°, β = 90.00° and γ = 120.00°. Symmetry generates all atoms from Ta at (0.1467, 0.4308, 0.0000), Mo at (0.0000, 0.0000, 0.9940) and Mo at (0.0468, 0.8082, 0.6691).

4.
Entry from Alexandria via LeMat-Bulk: a crystal of Ta3Mo5 relaxed with PBEsol (meta-GGA SCAN).

The calculation puts the formation energy at -0.14 eV per atom. As for the final energy: -375.3 eV/f.u. As for the density of states at the Fermi level: 4.0 states/eV/cell. Its energy relative to the lowest polymorph listed for this composition is 4.5 kJ/mol of atoms.

It has space group Pmmm (No. 47), with a = 3.179 Å, b = 4.470 Å, c = 9.029 Å, α = 90.00°, β = 90.00° and γ = 90.00°. Symmetry generates all atoms from Ta at (0.000, 0.000, 0.000), Ta at (0.500, 0.000, 0.256), Mo at (0.000, 0.000, 0.500), Mo at (0.000, 0.500, 0.251), Mo at (0.500, 0.500, 0.000) and Mo at (0.500, 0.500, 0.500).

5.
Entry from Alexandria via LeMat-Bulk: a crystal of Ta3Mo relaxed with PBEsol (meta-GGA SCAN).

The calculation puts the formation energy at -0.08 eV per atom. As for the final energy: -235.0 eV/f.u. As for the density of states at the Fermi level: 8.1 states/eV/cell. Its energy relative to the lowest polymorph listed for this composition is 4.0 kJ/mol of atoms.

It has space group Pmma (No. 51), with a = 3.228 Å, b = 4.579 Å, c = 9.174 Å, α = 90.00°, β = 90.00° and γ = 90.00°. Symmetry generates all atoms from Ta at (0.250, 0.000, 0.123), Ta at (0.250, 0.000, 0.626), Ta at (0.250, 0.500, 0.868) and Mo at (0.250, 0.500, 0.382).

6.
Entry from Alexandria via LeMat-Bulk: a crystal of TaMo4 relaxed with PBEsol (meta-GGA SCAN).

The calculation puts the formation energy at -0.06 eV per atom. As for the final energy: -206.4 eV/f.u. As for the density of states at the Fermi level: 9.8 states/eV/cell. Its energy relative to the lowest polymorph listed for this composition is 5.5 kJ/mol of atoms.

It has space group Fmmm (No. 69), with a = 3.156 Å, b = 4.491 Å, c = 22.157 Å, α = 90.00°, β = 90.00° and γ = 90.00°. Symmetry generates all atoms from Ta at (0.000, 0.000, 0.000), Mo at (0.000, 0.000, 0.201) and Mo at (0.000, 0.000, 0.397).